Entry 1:
The following is a DFT calculation (PBE) of a relaxed structure of TlH3Pd6.

a = 6.859 Å, b = 6.859 Å, c = 2.969 Å
α = 90.00°, β = 90.00°, γ = 113.69°
Atoms (fractional coordinates):
Tl 0.000 0.000 0.000
H 0.000 0.500 0.500
H 0.500 0.000 0.500
H 0.500 0.500 0.000
Pd 0.191 0.440 0.000
Pd 0.205 0.795 0.500
Pd 0.440 0.191 0.000
Pd 0.560 0.809 0.000
Pd 0.795 0.205 0.500
Pd 0.809 0.560 0.000

Computed properties:
Magnetization, μB per atom: 0.000
Fermi-level density of states, states/eV/cell: 4.13
Calculated total energy, eV/atom: -4.38

=====

Entry 2:
The following is a DFT calculation (PBE) of a relaxed structure of TlHPd3.

a = 5.116 Å, b = 5.116 Å, c = 5.116 Å
α = 90.00°, β = 90.00°, γ = 90.00°
Atoms (fractional coordinates):
Tl 0.000 0.000 0.000
H 0.500 0.500 0.500
Pd 0.000 0.000 0.500
Pd 0.000 0.500 0.000
Pd 0.500 0.000 0.000

Computed properties:
Magnetization, μB per atom: 0.000
Fermi-level density of states, states/eV/cell: 0.18
Calculated total energy, eV/atom: -2.94
Energy above the most stable polymorph in this dataset, eV per atom: 1.583

=====

Entry 3:
The following is a DFT calculation (PBE) of a relaxed structure of TlH2Pd.

a = 6.517 Å, b = 6.517 Å, c = 6.517 Å
α = 27.59°, β = 27.59°, γ = 27.59°
Atoms (fractional coordinates):
Tl 0.000 0.000 0.000
H 0.199 0.199 0.199
H 0.801 0.801 0.801
Pd 0.500 0.500 0.500

Computed properties:
Magnetization, μB per atom: 0.000
Fermi-level density of states, states/eV/cell: 0.64
Calculated total energy, eV/atom: -3.51
Energy above the most stable polymorph in this dataset, eV per atom: 0.092

=====

Entry 4:
The following is a DFT calculation (PBE) of a relaxed structure of Tl4HPd2.

a = 8.029 Å, b = 8.029 Å, c = 8.029 Å
α = 35.50°, β = 35.50°, γ = 35.50°
Atoms (fractional coordinates):
Tl 0.116 0.116 0.116
Tl 0.295 0.295 0.295
Tl 0.705 0.705 0.705
Tl 0.884 0.884 0.884
H 0.500 0.500 0.500
Pd 0.424 0.424 0.424
Pd 0.576 0.576 0.576

Computed properties:
Magnetization, μB per atom: 0.000
Fermi-level density of states, states/eV/cell: 2.38
Calculated total energy, eV/atom: -3.35

=====

Entry 5:
The following is a DFT calculation (PBE) of a relaxed structure of TlHPd3.

a = 8.595 Å, b = 8.595 Å, c = 5.751 Å
α = 90.76°, β = 90.76°, γ = 20.15°
Atoms (fractional coordinates):
Tl 0.120 0.120 0.003
Tl 0.880 0.880 0.997
H 0.322 0.322 0.478
H 0.678 0.678 0.522
Pd 0.115 0.115 0.502
Pd 0.262 0.262 0.743
Pd 0.498 0.498 0.251
Pd 0.502 0.502 0.749
Pd 0.738 0.738 0.257
Pd 0.885 0.885 0.498

Computed properties:
Magnetization, μB per atom: 0.000
Fermi-level density of states, states/eV/cell: 3.80
Calculated total energy, eV/atom: -4.36
Energy above the most stable polymorph in this dataset, eV per atom: 0.159

=====

Entry 6:
The following is a DFT calculation (PBE) of a relaxed structure of TlHPd3.

a = 10.431 Å, b = 10.431 Å, c = 10.431 Å
α = 153.35°, β = 153.35°, γ = 38.04°
Atoms (fractional coordinates):
Tl 0.000 0.000 0.000
Tl 0.750 0.250 0.500
H 0.135 0.635 0.500
H 0.365 0.865 0.500
Pd 0.360 0.360 0.000
Pd 0.372 0.127 0.245
Pd 0.640 0.640 0.000
Pd 0.873 0.118 0.245
Pd 0.873 0.628 0.755
Pd 0.882 0.127 0.755

Computed properties:
Magnetization, μB per atom: 0.000
Fermi-level density of states, states/eV/cell: 2.77
Calculated total energy, eV/atom: -3.71
Energy above the most stable polymorph in this dataset, eV per atom: 0.812